No. 1
Material: U7Tc2Ru2
Method: DFT, GGA-PBE
State: optimized geometry

Calculated values
space group: C2/m

Cell lengths 4.5739, 6.9678, 6.9678 Å; angles 87.78, 76.34, 76.34 degrees
With the nearest neighbours (Å) after each atom.
Fractional coordinates of all 11 atoms:
U  0.7922  0.4286  0.4286  2 U 2.59-2.73, 1 Ru 2.72
U  0.1886  0.0551  0.5967  1 Tc 2.59, 3 U 2.68-2.78, 1 Ru 2.85
U  0.8114  0.4033  0.9449  1 Tc 2.59, 3 U 2.68-2.78, 1 Ru 2.85
U  0.8114  0.9449  0.4033  1 Tc 2.59, 3 U 2.68-2.78, 1 Ru 2.85
U  0.2078  0.5714  0.5714  2 U 2.59-2.73, 1 Ru 2.72
U  0.1886  0.5967  0.0551  1 Tc 2.59, 3 U 2.68-2.78, 1 Ru 2.85
U  0.0000  0.0000  0.0000  4 U 2.78, 4 Ru 2.99-3.09
Tc  0.5000  0.7810  0.2190  2 U 2.59
Tc  0.5000  0.2190  0.7810  2 U 2.59
Ru  0.3348  0.2109  0.2109  4 U 2.72-2.99, 2 Tc 2.91
Ru  0.6652  0.7891  0.7891  4 U 2.72-2.99, 2 Tc 2.91

---

No. 2
Material: PrMg2Al2Zn2
Method: DFT, GGA-PBE
State: optimized geometry

Calculated values
space group: R-3m

Cell lengths 4.4938, 4.4938, 8.8368 Å; angles 75.27, 75.27, 60.00 degrees
With the nearest neighbours (Å) after each atom.
Fractional coordinates of all 7 atoms:
Zn  0.4085  0.4085  0.7745  3 Al 2.60
Zn  0.5915  0.5915  0.2255  3 Al 2.60
Mg  0.8651  0.8651  0.4046  4 Al 2.96-3.03, 3 Zn 3.00, 3 Mg 3.05
Mg  0.1349  0.1349  0.5954  4 Al 2.96-3.03, 3 Zn 3.00, 3 Mg 3.05
Al  0.7456  0.7456  0.7633  3 Zn 2.60
Al  0.2544  0.2544  0.2367  3 Zn 2.60
Pr  0.0000  0.0000  0.0000  6 Zn 3.22, 6 Al 3.28, 2 Mg 3.42

---

no.,energy of formation (meV per atom)
1,1
2,-270